# 1
11
Lattice="-3.273 -1.164 -3.265 2.383 -5.532 3.059 -2.954 1.674 5.840" Properties=species:S:1:pos:R:3 comment="Ti7AlZn3, optimized geometry, DFT PBE" dos_ef_per_ev_atom=1.051 spacegroup=C2/m ef_ev_per_atom=0.1326 pbc="T T T"
Ti -3.115 -4.065 4.554
Ti -0.285 -1.929 4.450
Ti -1.132 -5.459 3.074
Ti -0.729 -0.957 1.080
Ti -2.712 0.437 2.560
Ti 0.284 -3.608 0.999
Ti -4.128 -1.414 4.635
Al -1.922 -2.511 2.817
Zn -1.637 -0.582 -1.633
Zn 1.189 -3.920 3.681
Zn -1.760 0.062 5.218



# 2
24
Lattice="-2.308 0.654 1.229 2.637 -5.613 7.941 6.435 11.478 5.977" Properties=species:S:1:pos:R:3 comment="Ti4AlZn, optimized geometry, DFT PBE" dos_ef_per_ev_atom=1.199 spacegroup=Pbam ef_ev_per_atom=-0.0791 polymorph_energy_ev_per_fu=0.00 pbc="T T T"
Ti 5.657 4.745 11.057
Ti 1.622 -3.764 8.007
Ti 1.781 0.380 6.100
Ti 2.443 -1.000 8.078
Ti 2.831 6.158 4.996
Ti 0.459 3.180 2.126
Ti 6.304 3.339 13.021
Ti 4.982 6.139 9.047
Ti 3.932 0.361 10.150
Ti 5.141 10.282 7.140
Ti 1.106 1.773 4.090
Ti 4.320 7.519 7.069
Ti 6.484 7.516 11.136
Ti 2.591 3.123 6.161
Ti 0.279 -0.997 4.011
Ti 4.172 3.396 8.986
Zn 2.305 -2.351 5.581
Zn 6.174 2.000 10.533
Zn 2.897 3.864 3.385
Zn 6.767 8.215 8.337
Al 0.975 0.436 1.600
Al 4.227 1.077 7.366
Al 4.845 4.787 6.552
Al 8.096 5.428 12.318



# 3
20
Lattice="-3.172 3.324 -0.226 -1.341 -1.778 -7.338 -5.788 -5.084 6.486" Properties=species:S:1:pos:R:3 comment="Ti6Al3Zn, optimized geometry, DFT PBE" dos_ef_per_ev_atom=0.972 spacegroup=P2_1/m ef_ev_per_atom=-0.2825 polymorph_energy_ev_per_fu=0.00 pbc="T T T"
Ti -6.789 -1.468 3.482
Ti -4.726 0.231 -0.499
Ti -8.358 -3.268 -0.971
Ti -1.802 -0.328 -2.943
Ti -5.576 -3.769 -0.579
Ti -3.513 -2.071 -4.560
Ti -3.860 -2.017 1.102
Ti -1.944 -0.271 -0.107
Ti -5.894 -3.689 5.074
Ti -6.442 -1.521 -2.180
Ti -4.408 0.151 -6.152
Ti -8.500 -3.211 1.865
Zn -4.916 0.245 2.364
Zn -5.386 -3.783 -3.442
Al -2.863 1.928 -1.685
Al -6.648 -1.524 0.666
Al -7.438 -5.466 0.607
Al -3.654 -2.014 -1.744
Al -4.552 0.207 -3.286
Al -5.750 -3.746 2.208



# 4
5
Lattice="4.611 0.000 0.000 0.000 4.611 0.000 0.000 0.000 4.611" Properties=species:S:1:pos:R:3 comment="TiAl3Zn, optimized geometry, DFT PBE" dos_ef_per_ev_atom=0.915 spacegroup=Pm-3m ef_ev_per_atom=0.6698 polymorph_energy_ev_per_fu=3.68 pbc="T T T"
Al 0.000 0.000 2.305
Al 2.305 0.000 0.000
Al 0.000 2.305 0.000
Ti 2.305 2.305 2.305
Zn 0.000 0.000 0.000



# 5
16
Lattice="5.441 1.202 0.000 -0.922 4.172 0.000 0.000 0.000 10.824" Properties=species:S:1:pos:R:3 comment="Ti3Al3Zn2, optimized geometry, DFT PBE" dos_ef_per_ev_atom=0.739 spacegroup=Pmmn ef_ev_per_atom=-0.1300 pbc="T T T"
Ti 0.473 3.386 8.118
Ti 4.241 4.219 1.119
Ti 0.279 1.155 6.531
Ti 0.279 1.155 9.705
Ti 4.241 4.219 4.293
Ti 4.047 1.988 2.706
Al 1.864 3.694 2.706
Al 1.245 3.557 5.469
Al 3.275 1.817 5.356
Al 2.655 1.680 8.118
Al 1.245 3.557 10.768
Al 3.275 1.817 0.057
Zn 1.105 1.338 3.935
Zn 3.414 4.036 6.889
Zn 3.414 4.036 9.347
Zn 1.105 1.338 1.477



# 6
16
Lattice="-0.410 -1.097 3.853 0.379 -3.866 -1.061 15.944 1.016 1.987" Properties=species:S:1:pos:R:3 comment="Ti12AlZn3, optimized geometry, DFT PBE" dos_ef_per_ev_atom=1.130 spacegroup=P4/mmm ef_ev_per_atom=-0.1479 pbc="T T T"
Zn 4.006 0.255 0.499
Zn 7.972 0.508 0.994
Zn 11.938 0.761 1.488
Al 0.000 0.000 0.000
Ti -0.016 -2.482 1.396
Ti 4.000 -2.226 1.897
Ti 7.956 -1.974 2.390
Ti 5.779 -0.167 2.672
Ti 6.173 -1.552 0.215
Ti 14.133 -1.045 1.207
Ti 11.912 -1.722 2.883
Ti 1.796 -0.421 2.176
Ti 13.738 0.340 3.664
Ti 9.755 0.086 3.168
Ti 10.150 -1.299 0.711
Ti 2.190 -1.806 -0.281



# 7
4
Lattice="-4.109 -1.221 -1.751 -3.378 -1.450 2.816 -3.713 2.670 0.728" Properties=species:S:1:pos:R:3 comment="ZrTiAlZn, optimized geometry, DFT PBE" dos_ef_per_ev_atom=0.965 spacegroup=F-43m ef_ev_per_atom=-0.2453 polymorph_energy_ev_per_fu=0.23 pbc="T T T"
Ti -2.800 0.000 0.448
Zr -8.400 -0.001 1.345
Al 0.000 0.000 0.000
Zn -5.600 -0.001 0.896



# 8
4
Lattice="2.952 0.000 0.000 0.000 2.952 0.000 0.000 0.000 8.003" Properties=species:S:1:pos:R:3 comment="ZrTiAlZn, optimized geometry, DFT PBE" dos_ef_per_ev_atom=0.992 spacegroup=P4mm ef_ev_per_atom=-0.3037 polymorph_energy_ev_per_fu=0.00 pbc="T T T"
Ti 0.000 0.000 4.556
Zn 1.476 1.476 2.683
Zr 0.000 0.000 0.585
Al 1.476 1.476 6.459



# 9
10
Lattice="8.259 0.000 0.000 0.000 8.259 0.000 0.000 0.000 2.957" Properties=species:S:1:pos:R:3 comment="Zr2TiAl2, optimized geometry, DFT PBE" dos_ef_per_ev_atom=0.624 spacegroup=P4/mbm ef_ev_per_atom=0.0160 polymorph_energy_ev_per_fu=1.69 pbc="T T T"
Zr 5.170 1.041 0.000
Zr 7.218 5.170 0.000
Zr 1.041 3.089 0.000
Zr 3.089 7.218 0.000
Ti 0.000 0.000 0.000
Ti 4.130 4.130 0.000
Al 5.560 6.828 1.479
Al 1.431 5.560 1.479
Al 2.699 1.431 1.479
Al 6.828 2.699 1.479



# 10
10
Lattice="-4.225 -5.599 -1.695 2.575 0.098 -6.740 2.761 -2.393 1.020" Properties=species:S:1:pos:R:3 comment="Zr2TiAl2, optimized geometry, DFT PBE" dos_ef_per_ev_atom=0.994 spacegroup=P4/mbm ef_ev_per_atom=-0.3217 polymorph_energy_ev_per_fu=0.00 pbc="T T T"
Zr 0.656 -4.892 -6.197
Zr -1.269 -5.786 -3.083
Zr 2.380 -2.107 -4.332
Zr 0.455 -3.001 -1.218
Ti 0.000 0.000 0.000
Ti -0.825 -2.750 -4.218
Al 0.428 -0.671 -2.732
Al -2.078 -4.830 -5.703
Al -2.321 -3.494 -1.914
Al 0.671 -2.006 -6.522



# 11
6
Lattice="-0.577 -1.626 4.947 3.850 -2.668 2.346 2.780 2.240 3.835" Properties=species:S:1:pos:R:3 comment="ZrTiAl4, optimized geometry, DFT PBE" dos_ef_per_ev_atom=0.518 spacegroup=F-43m ef_ev_per_atom=-0.4250 pbc="T T T"
Zr 1.513 -0.514 2.782
Al 4.072 -0.471 4.480
Al 1.857 0.051 5.782
Al 3.784 -1.284 6.955
Al 2.393 -2.405 5.037
Ti 0.000 0.000 0.000



# 12
8
Lattice="-0.720 1.790 -2.337 -7.055 -0.537 -0.203 -1.933 5.998 3.223" Properties=species:S:1:pos:R:3 comment="ZrTi5Al2, optimized geometry, DFT PBE" dos_ef_per_ev_atom=1.234 spacegroup=Immm ef_ev_per_atom=-0.1583 pbc="T T T"
Ti -7.093 2.668 0.298
Ti -2.615 4.583 0.385
Ti -4.824 5.563 1.816
Ti -4.494 2.730 1.510
Ti -4.884 1.687 -1.134
Al -2.353 1.780 0.123
Al -7.355 5.471 0.560
Zr 0.000 0.000 0.000



# 13
18
Lattice="-2.846 -0.695 2.775 -3.793 -5.793 -5.342 4.904 -6.376 3.432" Properties=species:S:1:pos:R:3 comment="ZrTi4Al4, optimized geometry, DFT PBE" dos_ef_per_ev_atom=0.902 spacegroup=I4/mmm ef_ev_per_atom=-0.2644 pbc="T T T"
Al -2.498 -4.314 -0.707
Al 0.429 -4.953 5.066
Al -1.261 -1.925 -1.775
Al 0.393 -4.507 2.207
Al -5.009 -8.607 -1.427
Al 2.371 -10.244 -0.135
Al -2.128 -8.357 -1.343
Al 0.762 -8.551 1.573
Ti -2.097 -8.900 1.487
Ti -0.505 -10.397 -0.190
Ti -3.701 -6.242 -2.426
Ti -1.229 -2.467 1.055
Ti -2.484 -4.660 2.153
Ti -0.960 -5.983 -2.483
Ti 2.071 -6.186 0.573
Ti 1.966 -6.622 3.291
Zr -0.867 -6.432 0.433
Zr 0.000 0.000 0.000



# 14
5
Lattice="5.032 0.000 0.000 0.000 5.032 0.000 0.000 0.000 5.032" Properties=species:S:1:pos:R:3 comment="ZrTiAl3, optimized geometry, DFT PBE" dos_ef_per_ev_atom=3.510 spacegroup=Pm-3m ef_ev_per_atom=1.0582 polymorph_energy_ev_per_fu=2.35 pbc="T T T"
Al 2.516 0.000 0.000
Al 0.000 0.000 2.516
Al 0.000 2.516 0.000
Zr 0.000 0.000 0.000
Ti 2.516 2.516 2.516



# 15
6
Lattice="-3.823 -0.066 1.563 1.127 -2.900 2.632 1.029 5.771 2.762" Properties=species:S:1:pos:R:3 comment="ZrTi2Al3, optimized geometry, DFT PBE" dos_ef_per_ev_atom=0.918 spacegroup=Cmmm ef_ev_per_atom=-0.4142 pbc="T T T"
Al -1.348 -1.483 2.098
Al -1.368 1.443 2.174
Al -0.300 1.362 4.783
Zr 0.000 0.000 0.000
Ti 1.112 0.038 2.720
Ti 1.044 2.833 2.674



# 16
11
Lattice="5.136 1.621 -0.734 2.699 6.122 -2.442 -1.078 1.295 7.011" Properties=species:S:1:pos:R:3 comment="Zr3Ti3Al5, optimized geometry, DFT PBE" dos_ef_per_ev_atom=0.919 spacegroup=P1 ef_ev_per_atom=-0.2729 pbc="T T T"
Zr 1.528 5.844 3.184
Zr 5.323 4.213 0.745
Zr 1.902 3.729 -0.778
Al 3.050 3.488 2.395
Al 5.223 7.055 0.104
Al 3.537 4.429 5.037
Al 4.354 5.983 2.956
Al 2.814 6.210 0.559
Ti 1.132 2.493 4.504
Ti 4.018 6.126 -2.047
Ti 3.605 1.740 0.073



# 17
6
Lattice="4.802 0.000 0.000 2.401 4.154 0.243 2.401 0.965 7.200" Properties=species:S:1:pos:R:3 comment="Zr4TiAl, optimized geometry, DFT PBE" dos_ef_per_ev_atom=1.225 spacegroup=R-3m ef_ev_per_atom=0.4216 pbc="T T T"
Ti 0.000 0.000 0.000
Zr 4.802 2.390 6.582
Zr 4.802 2.729 0.861
Zr 7.204 3.998 2.897
Zr 2.401 1.121 4.546
Al 4.802 2.559 3.721



# 18
8
Lattice="-1.370 6.852 -2.501 -6.763 -0.240 3.046 -3.042 4.371 2.630" Properties=species:S:1:pos:R:3 comment="ZrTiAl2, optimized geometry, DFT PBE" dos_ef_per_ev_atom=0.794 spacegroup=I-42d ef_ev_per_atom=0.0231 polymorph_energy_ev_per_fu=1.77 pbc="T T T"
Ti -4.066 3.306 0.273
Ti -6.936 3.719 2.975
Zr -4.239 7.265 0.201
Zr 0.000 0.000 0.000
Al -5.179 1.902 2.211
Al -9.296 9.068 2.404
Al -2.441 5.242 -0.487
Al -5.433 5.754 2.223



# 19
4
Lattice="2.961 0.000 0.000 0.000 2.961 0.000 0.000 0.000 8.103" Properties=species:S:1:pos:R:3 comment="ZrTiAl2, optimized geometry, DFT PBE" dos_ef_per_ev_atom=1.021 spacegroup=P4/mmm ef_ev_per_atom=-0.3975 polymorph_energy_ev_per_fu=0.09 pbc="T T T"
Zr 1.481 1.481 4.052
Al 0.000 0.000 6.192
Al 0.000 0.000 1.911
Ti 1.481 1.481 0.000



# 20
4
Lattice="4.152 0.000 0.000 0.000 4.138 0.000 0.000 0.000 4.138" Properties=species:S:1:pos:R:3 comment="ZrTiAl2, optimized geometry, DFT PBE" dos_ef_per_ev_atom=0.832 spacegroup=P4/mmm ef_ev_per_atom=-0.4204 polymorph_energy_ev_per_fu=0.00 pbc="T T T"
Ti 2.076 0.000 0.000
Al 0.000 2.069 0.000
Al 0.000 0.000 2.069
Zr 2.076 2.069 2.069



# 21
10
Lattice="4.534 0.000 0.000 0.000 5.762 0.000 -2.267 0.000 7.269" Properties=species:S:1:pos:R:3 comment="Zr2TiAl2, optimized geometry, DFT PBE" dos_ef_per_ev_atom=0.641 spacegroup=Cmc2_1 ef_ev_per_atom=-0.2944 polymorph_energy_ev_per_fu=0.14 pbc="T T T"
Al 0.000 3.294 5.760
Al 0.000 1.942 2.822
Al 2.267 4.824 4.447
Al 2.267 0.412 1.509
Zr 2.267 4.677 7.191
Zr 0.000 1.796 0.078
Zr 2.267 1.907 4.359
Zr 0.000 4.788 2.910
Ti 0.000 0.479 5.783
Ti 2.267 3.360 1.485



# 22
12
Lattice="4.128 0.003 -1.270 -0.898 7.616 -2.902 0.188 -1.361 7.952" Properties=species:S:1:pos:R:3 comment="Zr6TiAl5, optimized geometry, DFT PBE" dos_ef_per_ev_atom=0.865 spacegroup=Immm ef_ev_per_atom=-0.3712 pbc="T T T"
Zr -0.071 6.534 -0.216
Zr 3.039 3.538 2.542
Zr 1.841 1.889 -1.354
Zr 3.489 -0.277 3.996
Zr 0.379 2.719 1.238
Zr 1.389 5.729 -2.818
Al 1.200 1.630 3.906
Al 2.652 0.800 1.279
Al 0.765 5.457 2.500
Al -0.449 3.808 -1.451
Al 2.217 4.627 -0.126
Ti 0.000 0.000 0.000



# 23
4
Lattice="0.000 3.290 3.290 3.290 0.000 3.290 3.290 3.290 0.000" Properties=species:S:1:pos:R:3 comment="ZrTiAl2, optimized geometry, DFT PBE" dos_ef_per_ev_atom=1.182 spacegroup=Fm-3m ef_ev_per_atom=-0.2531 polymorph_energy_ev_per_fu=0.67 pbc="T T T"
Al 4.935 4.935 4.935
Al 1.645 1.645 1.645
Zr 3.290 3.290 3.290
Ti 0.000 0.000 0.000